1.
Entry from Alexandria: SrTh2ZnN4 after structural relaxation (PBE-GGA).

Size of the total moment ... 0.000 μB per cell
Symmetry ... Cmcm
E ... -7.54 eV/atom
Density ... 8.20 Mg/m³

Geometry as POSCAR:
```
SrTh2ZnN4
1.0
1.851 -6.086 0.000
1.851 6.086 0.000
0.000 0.000 12.107
Sr Th Zn N
2 4 2 8
Direct
0.094 0.906 0.750
0.906 0.094 0.250
0.368 0.632 0.555
0.368 0.632 0.945
0.632 0.368 0.055
0.632 0.368 0.445
0.173 0.827 0.250
0.827 0.173 0.750
0.000 0.000 0.000
0.000 0.000 0.500
0.257 0.743 0.108
0.257 0.743 0.392
0.429 0.571 0.750
0.571 0.429 0.250
0.743 0.257 0.608
0.743 0.257 0.892
```


2.
Entry from Alexandria: NdZn4Cr after structural relaxation (PBE-GGA).

Formation enthalpy at 0 K ... -98 meV/atom
Density of states at the Fermi level ... 2.1 states/eV per cell
Size of the total moment ... 3.054 μB per cell
Symmetry ... F-43m
Density ... 7.22 Mg/m³

Geometry as POSCAR:
```
NdZn4Cr
1.0
0.000 3.748 3.748
3.748 0.000 3.748
3.748 3.748 0.000
Nd Zn Cr
1 4 1
Direct
0.000 0.000 0.000
0.128 0.624 0.624
0.624 0.128 0.624
0.624 0.624 0.128
0.624 0.624 0.624
0.250 0.250 0.250
```


3.
Entry from Alexandria: KCrS2 after structural relaxation (PBE-GGA).

Density of states at the Fermi level ... 0.4 states/eV per cell
Size of the total moment ... 2.998 μB per cell
Symmetry ... R-3m
E ... -5.39 eV/atom
Density ... 2.68 Mg/m³

Geometry as POSCAR:
```
KCrS2
1.0
1.832 1.057 8.270
-1.832 1.057 8.270
0.000 -2.115 8.270
K Cr S
1 1 2
Direct
0.000 0.000 0.000
0.500 0.500 0.500
0.117 0.117 0.117
0.883 0.883 0.883
```